Entry 1:
# MnTlIn2Cl6, optimized geometry, DFT PBE-GGA
data_MnTlIn2Cl6
_cell_length_a 7.2096
_cell_length_b 7.4447
_cell_length_c 7.4841
_cell_angle_alpha 89.58
_cell_angle_beta 61.86
_cell_angle_gamma 65.04
_symmetry_space_group_name_H-M 'P -1'
_symmetry_Int_Tables_number 2
loop_
_symmetry_equiv_pos_as_xyz
'x,y,z'
'-x,-y,-z'
loop_
_atom_site_label
_atom_site_type_symbol
_atom_site_fract_x
_atom_site_fract_y
_atom_site_fract_z
Mn1 Mn 0.0000 0.0000 0.0000
Tl1 Tl 0.0000 0.5000 0.5000
In1 In 0.4805 0.2098 0.7852
Cl1 Cl 0.0348 0.7067 0.8562
Cl2 Cl 0.0499 0.1140 0.7022
Cl3 Cl 0.4709 0.8188 0.8402
# size of the total moment = 0.398 μB per atom
# formation energy without anion corrections = -89.1 kJ/mol of atoms

Entry 2:
# TmMnInCl6, optimized geometry, DFT PBE-GGA
data_TmMnInCl6
_cell_length_a 6.4083
_cell_length_b 6.4083
_cell_length_c 14.4961
_cell_angle_alpha 90.00
_cell_angle_beta 90.00
_cell_angle_gamma 120.00
_symmetry_space_group_name_H-M 'P -3 1 c'
_symmetry_Int_Tables_number 163
_symmetry_space_group_name_Hall '-P 3 2c'
loop_
_atom_site_label
_atom_site_type_symbol
_atom_site_fract_x
_atom_site_fract_y
_atom_site_fract_z
Tm1 Tm 0.3333 0.6667 0.2500
Mn1 Mn 0.3333 0.6667 0.7500
In1 In 0.0000 0.0000 0.0000
Cl1 Cl 0.0286 0.3780 0.6519
# size of the total moment = 0.104 μB per atom
# formation energy without anion corrections = -126.9 kJ/mol of atoms
# DOS at the Fermi energy = 16.542 states/eV per cell

Entry 3:
# UMnInCl6, optimized geometry, DFT PBE-GGA
data_UMnInCl6
_cell_length_a 6.9495
_cell_length_b 6.9495
_cell_length_c 13.8349
_cell_angle_alpha 90.00
_cell_angle_beta 90.00
_cell_angle_gamma 120.00
_symmetry_space_group_name_H-M 'P -3 1 c'
_symmetry_Int_Tables_number 163
_symmetry_space_group_name_Hall '-P 3 2c'
loop_
_atom_site_label
_atom_site_type_symbol
_atom_site_fract_x
_atom_site_fract_y
_atom_site_fract_z
U1 U 0.3333 0.6667 0.2500
Mn1 Mn 0.3333 0.6667 0.7500
In1 In 0.0000 0.0000 0.0000
Cl1 Cl 0.0215 0.3812 0.6420
# size of the total moment = 0.875 μB per atom
# formation energy without anion corrections = -124.0 kJ/mol of atoms
# DOS at the Fermi energy = 20.094 states/eV per cell

Entry 4:
# UMnIn2Cl8, optimized geometry, DFT PBE-GGA
data_UMnIn2Cl8
_cell_length_a 6.6422
_cell_length_b 7.1387
_cell_length_c 8.2188
_cell_angle_alpha 89.56
_cell_angle_beta 89.50
_cell_angle_gamma 87.23
_symmetry_space_group_name_H-M 'P -1'
_symmetry_Int_Tables_number 2
loop_
_symmetry_equiv_pos_as_xyz
'x,y,z'
'-x,-y,-z'
loop_
_atom_site_label
_atom_site_type_symbol
_atom_site_fract_x
_atom_site_fract_y
_atom_site_fract_z
U1 U 0.0000 0.0000 0.0000
Mn1 Mn 0.0000 0.0000 0.5000
In1 In 0.4979 0.4996 0.2721
Cl1 Cl 0.2006 0.7223 0.5010
Cl2 Cl 0.2177 0.1312 0.2395
Cl3 Cl 0.2177 0.1326 0.7564
Cl4 Cl 0.2269 0.6884 0.0003
# size of the total moment = 0.583 μB per atom
# formation energy without anion corrections = -119.3 kJ/mol of atoms
# DOS at the Fermi energy = 6.908 states/eV per cell

Entry 5:
# ZrMnInCl6, optimized geometry, DFT PBE-GGA
data_ZrMnInCl6
_cell_length_a 5.9735
_cell_length_b 5.9735
_cell_length_c 15.6323
_cell_angle_alpha 90.00
_cell_angle_beta 90.00
_cell_angle_gamma 120.00
_symmetry_space_group_name_H-M 'P -3 1 c'
_symmetry_Int_Tables_number 163
_symmetry_space_group_name_Hall '-P 3 2c'
loop_
_atom_site_label
_atom_site_type_symbol
_atom_site_fract_x
_atom_site_fract_y
_atom_site_fract_z
Zr1 Zr 0.3333 0.6667 0.2500
Mn1 Mn 0.3333 0.6667 0.7500
In1 In 0.0000 0.0000 0.0000
Cl1 Cl 0.0207 0.3507 0.6567
# size of the total moment = 0.004 μB per atom
# formation energy without anion corrections = -104.6 kJ/mol of atoms

Entry 6:
# InMoCl2, optimized geometry, DFT PBE-GGA
data_InMoCl2
_cell_length_a 6.3435
_cell_length_b 9.2202
_cell_length_c 3.4235
_cell_angle_alpha 90.00
_cell_angle_beta 121.75
_cell_angle_gamma 90.00
_symmetry_space_group_name_H-M 'C 1 2/m 1'
_symmetry_Int_Tables_number 12
loop_
_symmetry_equiv_pos_as_xyz
'x,y,z'
'-x,-y,-z'
'-x,y,-z'
'x,-y,z'
'x+1/2,y+1/2,z'
'-x+1/2,-y+1/2,-z'
'-x+1/2,y+1/2,-z'
'x+1/2,-y+1/2,z'
loop_
_atom_site_label
_atom_site_type_symbol
_atom_site_fract_x
_atom_site_fract_y
_atom_site_fract_z
In1 In 0.0000 0.0000 0.0000
Mo1 Mo 0.0000 0.5000 0.0000
Cl1 Cl 0.2500 0.2500 0.0000
# size of the total moment = 0.773 μB per atom
# formation energy without anion corrections = 24.4 kJ/mol of atoms
# DOS at the Fermi energy = 4.291 states/eV per cell